No. 1
Compound: AcPuP2Pd2
Source: Alexandria via LeMat-Bulk
Functional: PBE-GGA
Structure: optimized geometry

Unit cell a=4.278 b=4.278 c=7.960 alpha=90.00 beta=90.00 gamma=120.00
Positions (direct):
Ac: 0.000 0.000 0.000
Pu: 0.000 0.000 0.500
P: 0.333 0.667 0.277
P: 0.667 0.333 0.723
Pd: 0.333 0.667 0.738
Pd: 0.667 0.333 0.262

Summary:
Its space-group type is P-3m1 (164). The calculation puts the raw total energy at -46.05 eV/cell. As for the calculated formation energy: -1067 meV/atom. For the density of states at the Fermi level, the calculation gives 1.764 states/eV per atom.

=====

No. 2
Compound: BaZnBr2
Source: Alexandria via LeMat-Bulk
Functional: PBE-GGA
Structure: optimized geometry

Unit cell a=9.572 b=9.572 c=9.572 alpha=26.49 beta=26.49 gamma=26.49
Positions (direct):
Ba: 0.000 0.000 0.000
Zn: 0.500 0.500 0.500
Br: 0.115 0.115 0.115
Br: 0.885 0.885 0.885

Summary:
Its space-group type is R-3m (166). For the energy relative to the elements, uncorrected, the calculation gives -0.59 eV per atom. The calculation puts the raw total energy at -8.92 eV/cell. For the density of states at the Fermi level, the calculation gives 1.485 states/eV per atom.

=====

No. 3
Compound: BaLi2Mg6
Source: Alexandria via LeMat-Bulk
Functional: PBE-GGA
Structure: optimized geometry

Unit cell a=4.850 b=4.850 c=10.273 alpha=90.00 beta=90.00 gamma=90.00
Positions (direct):
Ba: 0.000 0.000 0.000
Li: 0.500 0.500 0.148
Li: 0.500 0.500 0.852
Mg: 0.000 0.000 0.500
Mg: 0.000 0.500 0.307
Mg: 0.000 0.500 0.693
Mg: 0.500 0.000 0.307
Mg: 0.500 0.000 0.693
Mg: 0.500 0.500 0.500

Summary:
Its space-group type is P4/mmm (123). The calculation puts the raw total energy at -15.35 eV/cell. As for the calculated formation energy: -4 meV/atom. For the density of states at the Fermi level, the calculation gives 0.671 states/eV per atom.

=====

No. 4
Compound: CaSc2Ta
Source: Alexandria via LeMat-Bulk
Functional: PBE-GGA
Structure: optimized geometry

Unit cell a=6.401 b=6.401 c=6.401 alpha=151.38 beta=125.90 gamma=62.34
Positions (direct):
Ca: 0.000 0.000 0.000
Sc: 0.282 0.782 0.500
Sc: 0.718 0.218 0.500
Ta: 0.500 0.500 0.000

Summary:
Its space-group type is Immm (71). The calculation puts the raw total energy at -24.74 eV/cell. As for the calculated formation energy: 444 meV/atom. For the density of states at the Fermi level, the calculation gives 1.319 states/eV per atom.

=====

No. 5
Compound: SrHfBr2
Source: Alexandria via LeMat-Bulk
Functional: PBE-GGA
Structure: optimized geometry

Unit cell a=5.216 b=5.216 c=5.216 alpha=60.00 beta=60.00 gamma=60.00
Positions (direct):
Sr: 0.000 0.000 0.000
Hf: 0.500 0.500 0.500
Br: 0.250 0.250 0.250
Br: 0.750 0.750 0.750

Summary:
Its space-group type is Fm-3m (225). For the energy relative to the elements, uncorrected, the calculation gives -0.29 eV per atom. The calculation puts the raw total energy at -16.14 eV/cell. For the density of states at the Fermi level, the calculation gives 0.595 states/eV per atom.

=====

No. 6
Compound: NbCdPt2
Source: Alexandria via LeMat-Bulk
Functional: PBE-GGA
Structure: optimized geometry

Unit cell a=4.929 b=4.929 c=2.866 alpha=90.00 beta=90.00 gamma=90.00
Positions (direct):
Nb: 0.000 0.000 0.000
Cd: 0.500 0.500 0.000
Pt: 0.000 0.500 0.500
Pt: 0.500 0.000 0.500

Summary:
Its space-group type is P4/mmm (123). The calculation puts the raw total energy at -24.48 eV/cell. As for the calculated formation energy: -354 meV/atom. For the density of states at the Fermi level, the calculation gives 0.646 states/eV per atom.

=====

No. 7
Compound: KIn4Ag
Source: Alexandria via LeMat-Bulk
Functional: PBE-GGA
Structure: optimized geometry

Unit cell a=9.134 b=9.134 c=7.878 alpha=90.00 beta=90.00 gamma=149.92
Positions (direct):
K: 0.126 0.874 0.750
K: 0.874 0.126 0.250
In: 0.065 0.935 0.250
In: 0.320 0.680 0.553
In: 0.320 0.680 0.947
In: 0.500 0.500 0.000
In: 0.500 0.500 0.500
In: 0.680 0.320 0.053
In: 0.680 0.320 0.447
In: 0.935 0.065 0.750
Ag: 0.227 0.773 0.250
Ag: 0.773 0.227 0.750

Summary:
Its space-group type is Cmcm (63). The calculation puts the raw total energy at -30.81 eV/cell. As for the calculated formation energy: -84 meV/atom. For the density of states at the Fermi level, the calculation gives 0.371 states/eV per atom.

=====

No. 8
Compound: GaSn
Source: Alexandria via LeMat-Bulk
Functional: PBE-GGA
Structure: optimized geometry

Unit cell a=7.421 b=7.421 c=7.421 alpha=109.47 beta=109.47 gamma=109.47
Positions (direct):
Ga: 0.000 0.000 0.681
Ga: 0.000 0.681 0.000
Ga: 0.319 0.319 0.319
Ga: 0.681 0.000 0.000
Sn: 0.000 0.000 0.325
Sn: 0.000 0.325 0.000
Sn: 0.325 0.000 0.000
Sn: 0.675 0.675 0.675

Summary:
Its space-group type is I-43m (217). The calculation puts the raw total energy at -25.72 eV/cell. As for the calculated formation energy: 300 meV/atom. For the density of states at the Fermi level, the calculation gives 0.526 states/eV per atom.